Entry 1:
First-principles (PBE-GGA) data for a relaxed InTeP2 crystal, as listed in Alexandria via LeMat-Bulk.

Results
V, Å³ per cell: 98.9
DFT total energy, eV per atom: -4.100
Total moment, μB/cell: 0.0
E_form (uncorrected), meV/atom: 75
Crystal system: monoclinic
Space-group type: No. 10

Lattice parameters (Å, degrees): 4.880 3.951 5.241 90.00 101.92 90.00
Element x y z (fractional)
In 0.000 0.000 0.000
Te 0.500 0.000 0.500
P 0.329 0.500 0.828
P 0.671 0.500 0.172



Entry 2:
First-principles (PBE-GGA) data for a relaxed InTeP2 crystal, as listed in Alexandria via LeMat-Bulk.

Results
V, Å³ per cell: 92.8
DFT total energy, eV per atom: -3.688
Total moment, μB/cell: 0.0
E_form (uncorrected), meV/atom: 487
Crystal system: orthorhombic
Space-group type: No. 47

Lattice parameters (Å, degrees): 3.850 3.861 6.244 90.00 90.00 90.00
Element x y z (fractional)
In 0.000 0.000 0.000
Te 0.000 0.500 0.500
P 0.500 0.000 0.500
P 0.500 0.500 0.000



Entry 3:
First-principles (PBE-GGA) data for a relaxed InTeP2 crystal, as listed in Alexandria via LeMat-Bulk.

Results
V, Å³ per cell: 89.5
DFT total energy, eV per atom: -4.051
Total moment, μB/cell: 0.0
E_form (uncorrected), meV/atom: 124
Crystal system: tetragonal
Space-group type: No. 99

Lattice parameters (Å, degrees): 3.979 3.979 5.652 90.00 90.00 90.00
Element x y z (fractional)
In 0.000 0.000 0.000
Te 0.500 0.500 0.490
P 0.000 0.000 0.514
P 0.500 0.500 0.034



Entry 4:
First-principles (PBE-GGA) data for a relaxed InTeP2 crystal, as listed in Alexandria via LeMat-Bulk.

Results
V, Å³ per cell: 117.2
DFT total energy, eV per atom: -4.042
Total moment, μB/cell: 0.0
E_form (uncorrected), meV/atom: 133
Crystal system: orthorhombic
Space-group type: No. 44

Lattice parameters (Å, degrees): 8.752 8.752 8.752 159.33 150.29 36.47
Element x y z (fractional)
In 0.000 0.000 0.000
Te 0.621 0.121 0.500
P 0.310 0.810 0.500
P 0.397 0.397 0.000



Entry 5:
First-principles (PBE-GGA) data for a relaxed InTeP2 crystal, as listed in Alexandria via LeMat-Bulk.

Results
V, Å³ per cell: 102.3
DFT total energy, eV per atom: -3.669
Total moment, μB/cell: 0.0
E_form (uncorrected), meV/atom: 506
Crystal system: orthorhombic
Space-group type: No. 65

Lattice parameters (Å, degrees): 4.064 4.064 7.514 90.00 90.00 124.45
Element x y z (fractional)
In 0.000 0.000 0.000
Te 0.000 0.000 0.500
P 0.500 0.500 0.249
P 0.500 0.500 0.751



Entry 6:
First-principles (PBE-GGA) data for a relaxed InTeP2 crystal, as listed in Alexandria via LeMat-Bulk.

Results
V, Å³ per cell: 100.4
DFT total energy, eV per atom: -4.066
Total moment, μB/cell: 0.0
E_form (uncorrected), meV/atom: 109
Crystal system: trigonal
Space-group type: No. 160

Lattice parameters (Å, degrees): 10.932 10.932 10.932 17.26 17.26 17.26
Element x y z (fractional)
In 0.000 0.000 0.000
Te 0.763 0.763 0.763
P 0.243 0.243 0.243
P 0.538 0.538 0.538



Entry 7:
First-principles (PBE-GGA) data for a relaxed InTeP2 crystal, as listed in Alexandria via LeMat-Bulk.

Results
V, Å³ per cell: 92.6
DFT total energy, eV per atom: -3.682
Total moment, μB/cell: 0.0
E_form (uncorrected), meV/atom: 493
Crystal system: tetragonal
Space-group type: No. 119

Lattice parameters (Å, degrees): 6.816 6.816 6.816 147.20 147.20 47.07
Element x y z (fractional)
In 0.000 0.000 0.000
Te 0.750 0.250 0.500
P 0.250 0.750 0.500
P 0.500 0.500 0.000



Entry 8:
First-principles (PBE-GGA) data for a relaxed Tm6InTe3P2 crystal, as listed in Alexandria via LeMat-Bulk.

Results
V, Å³ per cell: 314.2
DFT total energy, eV per atom: -5.377
Total moment, μB/cell: 0.0
E_form (uncorrected), meV/atom: -1226
Crystal system: monoclinic
Space-group type: No. 12

Lattice parameters (Å, degrees): 9.430 9.430 8.591 103.97 103.97 25.11
Element x y z (fractional)
Tm 0.012 0.012 0.253
Tm 0.323 0.323 0.437
Tm 0.333 0.333 0.885
Tm 0.667 0.667 0.115
Tm 0.677 0.677 0.563
Tm 0.988 0.988 0.747
In 0.500 0.500 0.000
Te 0.165 0.165 0.832
Te 0.500 0.500 0.500
Te 0.835 0.835 0.168
P 0.170 0.170 0.340
P 0.830 0.830 0.660



Entry 9:
First-principles (PBE-GGA) data for a relaxed Th2InP crystal, as listed in Alexandria via LeMat-Bulk.

Results
V, Å³ per cell: 115.2
DFT total energy, eV per atom: -6.556
Total moment, μB/cell: 0.0
Crystal system: trigonal
Space-group type: No. 166
Formation enthalpy at 0 K, meV/atom: -809

Lattice parameters (Å, degrees): 8.600 8.600 8.600 26.95 26.95 26.95
Element x y z (fractional)
Th 0.235 0.235 0.235
Th 0.765 0.765 0.765
In 0.000 0.000 0.000
P 0.500 0.500 0.500



Entry 10:
First-principles (PBE-GGA) data for a relaxed Ti6In2P crystal, as listed in Alexandria via LeMat-Bulk.

Results
V, Å³ per cell: 159.9
DFT total energy, eV per atom: -6.912
Total moment, μB/cell: 0.0
Crystal system: hexagonal
Space-group type: No. 189
Formation enthalpy at 0 K, meV/atom: -439

Lattice parameters (Å, degrees): 7.302 7.302 3.463 90.00 90.00 120.00
Element x y z (fractional)
Ti 0.000 0.364 0.000
Ti 0.000 0.762 0.500
Ti 0.238 0.238 0.500
Ti 0.364 0.000 0.000
Ti 0.636 0.636 0.000
Ti 0.762 0.000 0.500
In 0.333 0.667 0.500
In 0.667 0.333 0.500
P 0.000 0.000 0.000



Entry 11:
First-principles (PBE-GGA) data for a relaxed TiInP crystal, as listed in Alexandria via LeMat-Bulk.

Results
V, Å³ per cell: 228.2
DFT total energy, eV per atom: -5.696
Total moment, μB/cell: 0.0
Crystal system: tetragonal
Space-group type: No. 84
Formation enthalpy at 0 K, meV/atom: -349

Lattice parameters (Å, degrees): 7.866 7.866 3.689 90.00 90.00 90.00
Element x y z (fractional)
Ti 0.128 0.812 0.000
Ti 0.188 0.128 0.500
Ti 0.812 0.872 0.500
Ti 0.872 0.188 0.000
In 0.262 0.433 0.000
In 0.433 0.738 0.500
In 0.567 0.262 0.500
In 0.738 0.567 0.000
P 0.025 0.641 0.500
P 0.359 0.025 0.000
P 0.641 0.975 0.000
P 0.975 0.359 0.500



Entry 12:
First-principles (PBE-GGA) data for a relaxed TiIn3P crystal, as listed in Alexandria via LeMat-Bulk.

Results
V, Å³ per cell: 132.8
DFT total energy, eV per atom: -3.544
Total moment, μB/cell: 0.0
Crystal system: cubic
Space-group type: No. 221
Formation enthalpy at 0 K, meV/atom: 760

Lattice parameters (Å, degrees): 5.102 5.102 5.102 90.00 90.00 90.00
Element x y z (fractional)
Ti 0.000 0.000 0.000
In 0.000 0.500 0.500
In 0.500 0.000 0.500
In 0.500 0.500 0.000
P 0.500 0.500 0.500